# 1
VASP calculation (PBE) on crystalline GaHg4Pb3 at its relaxed geometry.

Cell and atoms, written as CIF:
```
data_GaHg4Pb3
_cell_length_a 3.767
_cell_length_b 3.767
_cell_length_c 15.111
_cell_angle_alpha 90.00
_cell_angle_beta 90.00
_cell_angle_gamma 90.00
_space_group_name_H-M_alt 'P 1'
_space_group_IT_number 1
loop_
_space_group_symop_operation_xyz
'x,y,z'
loop_
_atom_site_label
_atom_site_fract_x
_atom_site_fract_y
_atom_site_fract_z
Pb1 0.500 0.500 0.761
Pb2 0.500 0.500 0.239
Hg1 0.000 0.000 0.630
Ga1 0.500 0.500 0.000
Hg2 0.000 0.000 0.895
Hg3 0.000 0.000 0.370
Pb3 0.500 0.500 0.500
Hg4 0.000 0.000 0.105
```

Values from the calculation:
**Energy**: -0.069 hartree per atom
**SG**: P4/mmm, No. 123
**Formation enthalpy at 0 K**: 0.043 eV per atom

***

# 2
VASP calculation (PBE) on crystalline CaAs2Cl at its relaxed geometry.

Cell and atoms, written as CIF:
```
data_CaAs2Cl
_cell_length_a 5.093
_cell_length_b 5.093
_cell_length_c 5.093
_cell_angle_alpha 60.00
_cell_angle_beta 60.00
_cell_angle_gamma 60.00
_space_group_name_H-M_alt 'P 1'
_space_group_IT_number 1
loop_
_space_group_symop_operation_xyz
'x,y,z'
loop_
_atom_site_label
_atom_site_fract_x
_atom_site_fract_y
_atom_site_fract_z
As1 0.250 0.250 0.250
Ca1 0.500 0.500 0.500
As2 0.750 0.750 0.750
Cl1 0.000 0.000 0.000
```

Values from the calculation:
**Energy**: -0.121 hartree per atom
**SG**: Fm-3m, No. 225
**ΔE to the lowest computed polymorph**: 1005 meV/atom

***

# 3
VASP calculation (PBE) on crystalline BeRe2Ni at its relaxed geometry.

Cell and atoms, written as CIF:
```
data_BeRe2Ni
_cell_length_a 3.907
_cell_length_b 3.609
_cell_length_c 3.609
_cell_angle_alpha 90.00
_cell_angle_beta 90.00
_cell_angle_gamma 90.00
_space_group_name_H-M_alt 'P 1'
_space_group_IT_number 1
loop_
_space_group_symop_operation_xyz
'x,y,z'
loop_
_atom_site_label
_atom_site_fract_x
_atom_site_fract_y
_atom_site_fract_z
Ni1 0.500 0.000 0.500
Re1 0.000 0.000 0.000
Re2 0.000 0.500 0.500
Be1 0.500 0.500 0.000
```

Values from the calculation:
**Energy**: -0.311 hartree per atom
**SG**: P4/mmm, No. 123
**Formation enthalpy at 0 K**: 0.140 eV per atom

***

# 4
VASP calculation (PBE) on crystalline Ta2Ag2IrS6 at its relaxed geometry.

Cell and atoms, written as CIF:
```
data_Ta2Ag2IrS6
_cell_length_a 5.989
_cell_length_b 5.989
_cell_length_c 7.656
_cell_angle_alpha 85.49
_cell_angle_beta 85.49
_cell_angle_gamma 122.23
_space_group_name_H-M_alt 'P 1'
_space_group_IT_number 1
loop_
_space_group_symop_operation_xyz
'x,y,z'
loop_
_atom_site_label
_atom_site_fract_x
_atom_site_fract_y
_atom_site_fract_z
Ag1 0.142 0.858 0.000
Ag2 0.858 0.142 0.000
Ta1 0.636 0.364 0.500
S1 0.056 0.717 0.319
S2 0.362 0.362 0.280
S3 0.283 0.944 0.681
Ta2 0.364 0.636 0.500
S4 0.638 0.638 0.720
S5 0.717 0.056 0.319
S6 0.944 0.283 0.681
Ir1 0.000 0.000 0.500
```

Values from the calculation:
**Energy**: -0.230 hartree per atom
**SG**: C2/m, No. 12

***

# 5
VASP calculation (PBE) on crystalline LiSc2Cu7 at its relaxed geometry.

Cell and atoms, written as CIF:
```
data_LiSc2Cu7
_cell_length_a 6.067
_cell_length_b 6.067
_cell_length_c 6.067
_cell_angle_alpha 60.00
_cell_angle_beta 60.00
_cell_angle_gamma 60.00
_space_group_name_H-M_alt 'P 1'
_space_group_IT_number 1
loop_
_space_group_symop_operation_xyz
'x,y,z'
loop_
_atom_site_label
_atom_site_fract_x
_atom_site_fract_y
_atom_site_fract_z
Cu1 0.239 0.761 0.239
Cu2 0.761 0.239 0.761
Cu3 0.239 0.239 0.761
Cu4 0.500 0.500 0.500
Li1 0.000 0.000 0.000
Cu5 0.761 0.239 0.239
Sc1 0.750 0.750 0.750
Cu6 0.239 0.761 0.761
Sc2 0.250 0.250 0.250
Cu7 0.761 0.761 0.239
```

Values from the calculation:
**Energy**: -0.147 hartree per atom
**SG**: Fm-3m, No. 225
**Formation enthalpy at 0 K**: 0.314 eV per atom

***

# 6
VASP calculation (PBE) on crystalline La2TmAs3Pt4 at its relaxed geometry.

Cell and atoms, written as CIF:
```
data_La2TmAs3Pt4
_cell_length_a 4.339
_cell_length_b 4.339
_cell_length_c 11.257
_cell_angle_alpha 90.00
_cell_angle_beta 90.00
_cell_angle_gamma 90.00
_space_group_name_H-M_alt 'P 1'
_space_group_IT_number 1
loop_
_space_group_symop_operation_xyz
'x,y,z'
loop_
_atom_site_label
_atom_site_fract_x
_atom_site_fract_y
_atom_site_fract_z
La1 0.500 0.000 0.218
As1 0.500 0.000 0.872
Pt1 0.000 0.000 0.000
Pt2 0.500 0.000 0.652
Tm1 0.500 0.500 0.500
Pt3 0.500 0.500 0.000
Pt4 0.000 0.500 0.348
As2 0.000 0.500 0.128
As3 0.000 0.000 0.500
La2 0.000 0.500 0.782
```

Values from the calculation:
**Energy**: -0.230 hartree per atom
**SG**: P-4m2, No. 115
**Formation enthalpy at 0 K**: -1.019 eV per atom

***

# 7
VASP calculation (PBE) on crystalline La2TbTl4 at its relaxed geometry.

Cell and atoms, written as CIF:
```
data_La2TbTl4
_cell_length_a 5.369
_cell_length_b 5.369
_cell_length_c 8.639
_cell_angle_alpha 108.10
_cell_angle_beta 108.10
_cell_angle_gamma 90.00
_space_group_name_H-M_alt 'P 1'
_space_group_IT_number 1
loop_
_space_group_symop_operation_xyz
'x,y,z'
loop_
_atom_site_label
_atom_site_fract_x
_atom_site_fract_y
_atom_site_fract_z
La1 0.253 0.253 0.505
Tl1 0.109 0.609 0.218
Tl2 0.609 0.109 0.218
La2 0.747 0.747 0.495
Tl3 0.391 0.891 0.782
Tl4 0.891 0.391 0.782
Tb1 0.000 0.000 0.000
```

Values from the calculation:
**Energy**: -0.135 hartree per atom
**SG**: I4/mmm, No. 139
**Formation enthalpy at 0 K**: -0.265 eV per atom
**ΔE to the lowest computed polymorph**: 0 meV/atom

***

# 8
VASP calculation (PBE) on crystalline SrSnAs2Se at its relaxed geometry.

Cell and atoms, written as CIF:
```
data_SrSnAs2Se
_cell_length_a 5.578
_cell_length_b 5.578
_cell_length_c 5.641
_cell_angle_alpha 90.00
_cell_angle_beta 90.00
_cell_angle_gamma 90.00
_space_group_name_H-M_alt 'P 1'
_space_group_IT_number 1
loop_
_space_group_symop_operation_xyz
'x,y,z'
loop_
_atom_site_label
_atom_site_fract_x
_atom_site_fract_y
_atom_site_fract_z
As1 0.500 0.000 0.000
Sn1 0.500 0.500 0.500
Se1 0.000 0.000 0.500
Sr1 0.000 0.000 0.000
As2 0.000 0.500 0.000
```

Values from the calculation:
**Energy**: -0.114 hartree per atom
**SG**: P4/mmm, No. 123
**ΔE to the lowest computed polymorph**: 719 meV/atom

***

# 9
VASP calculation (PBE) on crystalline InOsIN2 at its relaxed geometry.

Cell and atoms, written as CIF:
```
data_InOsIN2
_cell_length_a 4.036
_cell_length_b 4.036
_cell_length_c 5.963
_cell_angle_alpha 90.00
_cell_angle_beta 90.00
_cell_angle_gamma 90.00
_space_group_name_H-M_alt 'P 1'
_space_group_IT_number 1
loop_
_space_group_symop_operation_xyz
'x,y,z'
loop_
_atom_site_label
_atom_site_fract_x
_atom_site_fract_y
_atom_site_fract_z
N1 0.000 0.500 0.000
In1 0.500 0.500 0.500
N2 0.500 0.000 0.000
Os1 0.000 0.000 0.000
I1 0.000 0.000 0.500
```

Values from the calculation:
**Energy**: -0.202 hartree per atom
**SG**: P4/mmm, No. 123
**ΔE to the lowest computed polymorph**: 0 meV/atom

***

# 10
VASP calculation (PBE) on crystalline LaSb2Os2 at its relaxed geometry.

Cell and atoms, written as CIF:
```
data_LaSb2Os2
_cell_length_a 4.761
_cell_length_b 4.761
_cell_length_c 5.986
_cell_angle_alpha 66.57
_cell_angle_beta 66.57
_cell_angle_gamma 90.00
_space_group_name_H-M_alt 'P 1'
_space_group_IT_number 1
loop_
_space_group_symop_operation_xyz
'x,y,z'
loop_
_atom_site_label
_atom_site_fract_x
_atom_site_fract_y
_atom_site_fract_z
Os1 0.378 0.378 0.244
La1 0.000 0.000 0.000
Sb1 0.750 0.250 0.500
Os2 0.622 0.622 0.756
Sb2 0.250 0.750 0.500
```

Values from the calculation:
**Energy**: -0.269 hartree per atom
**SG**: I4/mmm, No. 139

***

# 11
VASP calculation (PBE) on crystalline FeOs3 at its relaxed geometry.

Cell and atoms, written as CIF:
```
data_FeOs3
_cell_length_a 2.722
_cell_length_b 2.722
_cell_length_c 8.412
_cell_angle_alpha 90.00
_cell_angle_beta 90.00
_cell_angle_gamma 120.00
_space_group_name_H-M_alt 'P 1'
_space_group_IT_number 1
loop_
_space_group_symop_operation_xyz
'x,y,z'
loop_
_atom_site_label
_atom_site_fract_x
_atom_site_fract_y
_atom_site_fract_z
Os1 0.000 0.000 0.500
Os2 0.667 0.333 0.760
Fe1 0.000 0.000 0.000
Os3 0.667 0.333 0.240
```

Values from the calculation:
**Energy**: -0.384 hartree per atom
**SG**: P-6m2, No. 187
**Formation enthalpy at 0 K**: 0.080 eV per atom

***

# 12
VASP calculation (PBE) on crystalline Ba2UInO6 at its relaxed geometry.

Cell and atoms, written as CIF:
```
data_Ba2UInO6
_cell_length_a 4.351
_cell_length_b 4.351
_cell_length_c 8.678
_cell_angle_alpha 90.00
_cell_angle_beta 90.00
_cell_angle_gamma 90.00
_space_group_name_H-M_alt 'P 1'
_space_group_IT_number 1
loop_
_space_group_symop_operation_xyz
'x,y,z'
loop_
_atom_site_label
_atom_site_fract_x
_atom_site_fract_y
_atom_site_fract_z
In1 0.500 0.500 0.500
Ba1 0.000 0.000 0.720
O1 0.000 0.500 0.000
Ba2 0.000 0.000 0.280
O2 0.500 0.500 0.241
O3 0.000 0.500 0.500
U1 0.500 0.500 0.000
O4 0.500 0.000 0.000
O5 0.500 0.000 0.500
O6 0.500 0.500 0.759
```

Values from the calculation:
**Energy**: -0.275 hartree per atom
**SG**: P4/mmm, No. 123

***

Please write out number 5 again, unchanged.
VASP calculation (PBE) on crystalline LiSc2Cu7 at its relaxed geometry.

Cell and atoms, written as CIF:
```
data_LiSc2Cu7
_cell_length_a 6.067
_cell_length_b 6.067
_cell_length_c 6.067
_cell_angle_alpha 60.00
_cell_angle_beta 60.00
_cell_angle_gamma 60.00
_space_group_name_H-M_alt 'P 1'
_space_group_IT_number 1
loop_
_space_group_symop_operation_xyz
'x,y,z'
loop_
_atom_site_label
_atom_site_fract_x
_atom_site_fract_y
_atom_site_fract_z
Cu1 0.239 0.761 0.239
Cu2 0.761 0.239 0.761
Cu3 0.239 0.239 0.761
Cu4 0.500 0.500 0.500
Li1 0.000 0.000 0.000
Cu5 0.761 0.239 0.239
Sc1 0.750 0.750 0.750
Cu6 0.239 0.761 0.761
Sc2 0.250 0.250 0.250
Cu7 0.761 0.761 0.239
```

Values from the calculation:
**Energy**: -0.147 hartree per atom
**SG**: Fm-3m, No. 225
**Formation enthalpy at 0 K**: 0.314 eV per atom